1.
6
Lattice="2.338 -8.507 0.000 2.338 8.507 0.000 0.000 0.000 4.316" Properties=species:S:1:pos:R:3 comment="CaSb2 | the Alexandria database | PBE | relaxed" volume_a3_per_atom=28.618 raw_formation_energy_ev_per_atom=-0.61 magmom_total_mub_per_fu=0.00 pbc="T T T"
Ca 2.338 6.730 3.237
Ca 2.338 -6.730 1.079
Sb 2.338 4.151 1.079
Sb 2.338 1.043 3.237
Sb 2.338 -1.043 1.079
Sb 2.338 -4.151 3.237



2.
30
Lattice="8.622 0.000 0.000 0.000 1.468 12.974 0.000 -1.468 12.974" Properties=species:S:1:pos:R:3 comment="Na10B17C3 | the Alexandria database | PBE | relaxed" e_above_lowest_polymorph_ev_per_atom=0.023 volume_a3_per_atom=10.947 formation_energy_ev_per_atom=0.228 magmom_total_mub_per_fu=0.00 pbc="T T T"
Na 2.140 0.000 0.000
Na 2.140 0.000 5.141
Na 2.144 0.000 15.550
Na 2.165 0.000 20.712
Na 2.173 0.000 10.355
Na 6.448 0.000 10.355
Na 6.457 0.000 20.712
Na 6.478 0.000 15.550
Na 6.481 0.000 0.000
Na 6.482 0.000 5.141
B 0.000 0.000 1.688
B 0.000 0.000 3.450
B 0.000 0.000 6.877
B 0.000 0.000 8.637
B 0.000 0.000 12.068
B 0.000 0.000 13.828
B 0.000 0.000 17.255
B 0.000 0.000 19.019
B 0.000 0.000 22.448
B 0.000 0.000 24.204
B 4.311 0.000 1.798
B 4.311 0.000 6.670
B 4.311 0.000 8.487
B 4.311 0.000 12.363
B 4.311 0.000 17.201
B 4.311 0.000 22.504
B 4.311 0.000 24.255
C 4.311 0.000 3.427
C 4.311 0.000 13.945
C 4.311 0.000 18.857



3.
3
Lattice="2.997 0.000 0.000 -1.499 2.596 0.000 0.000 0.000 5.576" Properties=species:S:1:pos:R:3 comment="AlPRu | the Alexandria database | PBE | relaxed" volume_a3_per_atom=14.460 formation_energy_ev_per_atom=-0.388 magmom_total_mub_per_fu=0.00 pbc="T T T"
Al 0.000 0.000 0.000
P 1.499 0.865 2.008
Ru 0.000 1.730 3.615



4.
22
Lattice="2.130 -7.084 0.000 2.130 7.084 0.000 0.000 0.000 22.268" Properties=species:S:1:pos:R:3 comment="Nd4TlSe6 | the Alexandria database | PBE | relaxed" volume_a3_per_atom=30.542 raw_formation_energy_ev_per_atom=-1.65 magmom_total_mub_per_fu=0.00 pbc="T T T"
Nd 2.130 5.716 14.114
Nd 2.130 5.716 19.288
Nd 2.130 1.879 12.073
Nd 2.130 1.879 21.329
Nd 2.130 -1.879 0.939
Nd 2.130 -1.879 10.195
Nd 2.130 -5.716 2.980
Nd 2.130 -5.716 8.154
Tl 2.130 4.814 5.567
Tl 2.130 -4.814 16.701
Se 0.000 0.000 0.000
Se 0.000 0.000 11.134
Se 2.130 4.613 16.701
Se 2.130 3.230 1.802
Se 2.130 3.230 9.332
Se 2.130 0.540 14.612
Se 2.130 0.540 18.790
Se 2.130 -0.540 3.478
Se 2.130 -0.540 7.656
Se 2.130 -3.230 12.935
Se 2.130 -3.230 20.466
Se 2.130 -4.613 5.567